The following is a DFT calculation (PBE) of a relaxed InNi2Se crystal.

Calculated values
The energy above the lowest structure with this stoichiometry comes out at 0.089 eV per atom. The formation energy (no corrections) comes out at -1 kJ/mol of formula units.

Geometry as extended XYZ:
```
16
Lattice="4.512 0.000 0.000 0.000 4.512 0.000 0.000 0.000 14.782" Properties=species:S:1:pos:R:3 pbc="T T T"
In 0.000 0.000 0.000
In 0.000 2.256 3.696
In 2.256 0.000 11.087
In 2.256 2.256 7.391
Ni 0.671 1.128 9.239
Ni 1.128 2.927 12.934
Ni 1.128 3.840 5.543
Ni 1.584 1.128 1.848
Ni 2.927 3.384 1.848
Ni 3.384 0.671 5.543
Ni 3.384 1.584 12.934
Ni 3.840 3.384 9.239
Se 0.000 0.000 7.391
Se 0.000 2.256 11.087
Se 2.256 0.000 3.696
Se 2.256 2.256 0.000
```